No. 1
VASP calculation (meta-GGA SCAN) on Mg3MnH7 at its PBEsol-relaxed geometry.

Properties
VASP energy, eV/atom: -5.548
Space group: P6_3/mmc
DOS at the Fermi energy, states/eV/cell: 0.0

abc: 4.6100 4.6100 10.2889
angles: 90.00 90.00 120.00
Closest atoms and distances in Å follow each position.
Fractional positions:
H: 0.1642 0.3284 0.9078  1 Mn 1.62
Mg: 0.0000 0.0000 0.2500  6 H 2.09
Mg: 0.6667 0.3333 0.9336  1 H 1.89
H: 0.1642 0.3284 0.5922  1 Mn 1.62
Mg: 0.0000 0.0000 0.7500  6 H 2.09
H: 0.1642 0.8358 0.9078  1 Mn 1.62
H: 0.8358 0.1642 0.4078  1 Mn 1.62
H: 0.3333 0.6667 0.2500  2 Mg 1.89
H: 0.3284 0.1642 0.0922  1 Mn 1.62
Mg: 0.3333 0.6667 0.0664  1 H 1.89
H: 0.1642 0.8358 0.5922  1 Mn 1.62
H: 0.8358 0.6716 0.4078  1 Mn 1.62
Mg: 0.6667 0.3333 0.5664  1 H 1.89
Mg: 0.3333 0.6667 0.4336  1 H 1.89
H: 0.6716 0.8358 0.5922  1 Mn 1.62
H: 0.8358 0.6716 0.0922  1 Mn 1.62
Mn: 0.0000 0.0000 0.0000  6 H 1.62
Mn: 0.0000 0.0000 0.5000  6 H 1.62
H: 0.3284 0.1642 0.4078  1 Mn 1.62
H: 0.6716 0.8358 0.9078  1 Mn 1.62
H: 0.6667 0.3333 0.7500  2 Mg 1.89
H: 0.8358 0.1642 0.0922  1 Mn 1.62

---

No. 2
VASP calculation (meta-GGA SCAN) on MgMoH3 at its PBEsol-relaxed geometry.

Properties
VASP energy, eV/atom: -9.325
Space group: Pm-3m
DOS at the Fermi energy, states/eV/cell: 2.4

abc: 3.4185 3.4185 3.4185
angles: 90.00 90.00 90.00
Closest atoms and distances in Å follow each position.
Fractional positions:
H: 0.0000 0.0000 0.5000  2 Mg 1.71
H: 0.5000 0.0000 0.0000  2 Mg 1.71
Mo: 0.5000 0.5000 0.5000  12 H 2.42
H: 0.0000 0.5000 0.0000  2 Mg 1.71
Mg: 0.0000 0.0000 0.0000  6 H 1.71

---

No. 3
VASP calculation (meta-GGA SCAN) on MgH4N2 at its PBEsol-relaxed geometry.

Properties
VASP energy, eV/atom: -5.956
Space group: I4_1/acd
DOS at the Fermi energy, states/eV/cell: 0.0

abc: 9.9264 9.9264 12.3102
angles: 113.78 113.78 90.00
Closest atoms and distances in Å follow each position.
Fractional positions:
H: 0.0367 0.6728 0.9462  1 N 1.03
H: 0.6022 0.5919 0.8041  1 N 1.03
H: 0.4081 0.7981 0.1959  1 N 1.03
H: 0.1649 0.4181 0.9431  1 N 1.03
N: 0.7376 0.4958 0.9972  2 H 1.03
H: 0.3383 0.9530 0.7986  1 N 1.03
Mg: 0.4344 0.4406 0.1232  4 N 2.08-2.10
H: 0.2782 0.9181 0.9431  1 N 1.03
Mg: 0.6889 0.6827 0.1232  4 N 2.08-2.10
H: 0.8272 0.4633 0.0538  1 N 1.03
N: 0.3750 0.8892 0.2500  2 H 1.03
H: 0.5819 0.2218 0.0569  1 N 1.03
N: 0.8750 0.3608 0.2500  2 H 1.03
N: 0.6108 0.1250 0.7500  2 H 1.03
Mg: 0.4327 0.9389 0.6232  4 N 2.08-2.10
N: 0.6392 0.6250 0.7500  2 H 1.03
H: 0.0956 0.0883 0.2986  1 N 1.03
H: 0.0234 0.1594 0.4462  1 N 1.03
H: 0.9718 0.8319 0.5569  1 N 1.03
H: 0.7133 0.9766 0.5538  1 N 1.03
H: 0.4750 0.8351 0.0569  1 N 1.03
H: 0.9081 0.8978 0.1959  1 N 1.03
H: 0.9117 0.7970 0.7014  1 N 1.03
H: 0.4603 0.8456 0.7986  1 N 1.03
Mg: 0.3156 0.5673 0.3768  4 N 2.08-2.10
H: 0.9750 0.7218 0.0569  1 N 1.03
N: 0.7458 0.0096 0.4972  2 H 1.03
H: 0.8406 0.5772 0.5538  1 N 1.03
H: 0.2750 0.0282 0.4431  1 N 1.03
Mg: 0.9344 0.1827 0.1232  4 N 2.08-2.10
N: 0.7596 0.9958 0.9972  2 H 1.03
N: 0.1324 0.6324 0.2647  2 H 1.03
N: 0.1176 0.1176 0.2353  2 H 1.03
N: 0.5042 0.7404 0.0028  2 H 1.03
H: 0.9228 0.6594 0.4462  1 N 1.03
N: 0.2458 0.9876 0.4972  2 H 1.03
N: 0.8824 0.8824 0.7647  2 H 1.03
H: 0.6681 0.5282 0.4431  1 N 1.03
H: 0.0851 0.3319 0.5569  1 N 1.03
Mg: 0.0594 0.0656 0.8768  4 N 2.08-2.10
N: 0.9986 0.2404 0.0028  2 H 1.03
H: 0.5481 0.6581 0.6959  1 N 1.03
H: 0.5851 0.7250 0.5569  1 N 1.03
N: 0.2514 0.5096 0.4972  2 H 1.03
H: 0.7750 0.9149 0.4431  1 N 1.03
N: 0.8750 0.8608 0.2500  2 H 1.03
N: 0.3824 0.3824 0.7647  2 H 1.03
N: 0.8676 0.3676 0.7353  2 H 1.03
N: 0.6176 0.6176 0.2353  2 H 1.03
H: 0.8383 0.3456 0.7986  1 N 1.03
H: 0.0481 0.5378 0.6959  1 N 1.03
N: 0.0124 0.7486 0.5028  2 H 1.03
N: 0.2376 0.0014 0.9972  2 H 1.03
H: 0.0819 0.3351 0.0569  1 N 1.03
H: 0.5367 0.7734 0.9462  1 N 1.03
H: 0.2019 0.2122 0.8041  1 N 1.03
H: 0.6649 0.0250 0.9431  1 N 1.03
H: 0.2897 0.2970 0.7014  1 N 1.03
H: 0.2133 0.0772 0.5538  1 N 1.03
H: 0.4622 0.3522 0.3041  1 N 1.03
N: 0.0042 0.7624 0.0028  2 H 1.03
H: 0.2878 0.2981 0.1959  1 N 1.03
H: 0.4718 0.2250 0.5569  1 N 1.03
H: 0.4117 0.4044 0.7014  1 N 1.03
H: 0.9622 0.4519 0.3041  1 N 1.03
Mg: 0.8173 0.8111 0.8768  4 N 2.08-2.10
H: 0.8419 0.9519 0.3041  1 N 1.03
H: 0.5470 0.1617 0.2014  1 N 1.03
H: 0.1544 0.6617 0.2014  1 N 1.03
N: 0.2596 0.5014 0.9972  2 H 1.03
Mg: 0.8156 0.3094 0.3768  4 N 2.08-2.10
N: 0.7514 0.4876 0.4972  2 H 1.03
H: 0.1022 0.7122 0.8041  1 N 1.03
N: 0.9904 0.2486 0.5028  2 H 1.03
H: 0.7266 0.9633 0.0538  1 N 1.03
N: 0.3676 0.8676 0.7353  2 H 1.03
H: 0.4228 0.2867 0.4462  1 N 1.03
Mg: 0.1889 0.9406 0.1232  4 N 2.08-2.10
Mg: 0.5611 0.0673 0.3768  4 N 2.08-2.10
N: 0.4986 0.2624 0.0028  2 H 1.03
Mg: 0.5594 0.3111 0.8768  4 N 2.08-2.10
N: 0.3750 0.3892 0.2500  2 H 1.03
H: 0.0470 0.5397 0.2014  1 N 1.03
Mg: 0.0611 0.8094 0.3768  4 N 2.08-2.10
H: 0.1681 0.4149 0.4431  1 N 1.03
H: 0.6478 0.1581 0.6959  1 N 1.03
H: 0.3406 0.4766 0.5538  1 N 1.03
H: 0.7019 0.0919 0.8041  1 N 1.03
Mg: 0.3173 0.5656 0.8768  4 N 2.08-2.10
H: 0.3272 0.0906 0.0538  1 N 1.03
H: 0.7782 0.5250 0.9431  1 N 1.03
H: 0.5234 0.7867 0.4462  1 N 1.03
N: 0.5124 0.2542 0.5028  2 H 1.03
H: 0.7878 0.3978 0.1959  1 N 1.03
H: 0.2030 0.2103 0.2986  1 N 1.03
H: 0.1478 0.0378 0.6959  1 N 1.03
H: 0.3419 0.8522 0.3041  1 N 1.03
N: 0.1108 0.1250 0.7500  2 H 1.03
H: 0.7030 0.5883 0.2986  1 N 1.03
Mg: 0.1906 0.6844 0.6232  4 N 2.08-2.10
N: 0.6324 0.1324 0.2647  2 H 1.03
H: 0.9603 0.4530 0.7986  1 N 1.03
H: 0.4094 0.1728 0.9462  1 N 1.03
H: 0.2266 0.5906 0.0538  1 N 1.03
N: 0.1392 0.6250 0.7500  2 H 1.03
H: 0.6544 0.0397 0.2014  1 N 1.03
H: 0.9094 0.2734 0.9462  1 N 1.03
H: 0.7897 0.9044 0.7014  1 N 1.03
H: 0.5956 0.7103 0.2986  1 N 1.03
N: 0.4904 0.7542 0.5028  2 H 1.03
Mg: 0.6906 0.4389 0.6232  4 N 2.08-2.10
Mg: 0.9327 0.1844 0.6232  4 N 2.08-2.10

---

No. 4
VASP calculation (meta-GGA SCAN) on Mg3P4H48N2O30 at its PBEsol-relaxed geometry.

Properties
VASP energy, eV/atom: -6.227
Space group: C2/m
DOS at the Fermi energy, states/eV/cell: 0.0

abc: 6.0676 6.9375 17.4153
angles: 101.49 91.56 90.00
Closest atoms and distances in Å follow each position.
Fractional positions:
Mg: 0.2472 0.8337 0.6673  6 O 2.07-2.14
H: 0.1414 0.6348 0.2696  1 N 1.05
H: 0.0592 0.5869 0.1739  1 N 1.05
O: 0.8440 0.4192 0.4115  2 H 1.00-1.01
H: 0.2055 0.5657 0.5331  1 O 1.01
O: 0.2662 0.9037 0.4385  1 P 1.54, 3 H 1.62-1.69
O: 0.5340 0.1250 0.8819  1 P 1.54, 3 H 1.61-1.65
O: 0.0574 0.1407 0.2814  2 H 1.00
O: 0.6536 0.3554 0.2576  2 H 1.01
H: 0.6857 0.9940 0.9879  1 P 1.41
H: 0.2993 0.2126 0.9202  1 O 1.00
H: 0.9026 0.7413 0.2405  1 N 1.05
H: 0.6641 0.3319 0.9012  1 O 1.01
H: 0.3359 0.6681 0.0988  1 O 1.01
O: 0.5340 0.7569 0.8819  1 P 1.54, 3 H 1.61-1.65
N: 0.9977 0.3843 0.7686  4 H 1.05
H: 0.2055 0.9673 0.5331  1 O 1.01
O: 0.5927 0.3396 0.6793  1 P 1.54, 2 H 1.65
H: 0.7945 0.4343 0.4669  1 O 1.01
O: 0.1458 0.2518 0.9360  2 H 1.00
H: 0.0008 0.9497 0.4161  1 O 1.00
H: 0.9408 0.4131 0.8261  1 N 1.05
O: 0.1024 0.0630 0.1260  1 P 1.54, 3 H 1.67
P: 0.3828 0.7053 0.4106  1 H 1.41, 3 O 1.54
O: 0.3464 0.6446 0.7424  2 H 1.01
O: 0.8976 0.9370 0.8740  1 P 1.54, 3 H 1.67
H: 0.0506 0.7784 0.9132  1 O 1.00
H: 0.4214 0.6948 0.7951  1 O 1.01
H: 0.7007 0.7874 0.0798  1 O 1.00
H: 0.7965 0.8450 0.6900  1 O 1.00
O: 0.8542 0.3158 0.0640  2 H 1.00
H: 0.2993 0.7076 0.9202  1 O 1.00
O: 0.5732 0.8114 0.6228  2 H 1.02
H: 0.4416 0.1834 0.7157  1 O 1.01
H: 0.0974 0.5007 0.7595  1 N 1.05
H: 0.9026 0.4993 0.2405  1 N 1.05
H: 0.9992 0.5336 0.5839  1 O 1.00
H: 0.5969 0.7224 0.4448  1 P 1.41
O: 0.4268 0.1886 0.3772  2 H 1.02
H: 0.0974 0.2587 0.7595  1 N 1.05
O: 0.8440 0.9923 0.4115  2 H 1.00-1.01
H: 0.9992 0.0503 0.5839  1 O 1.00
H: 0.2035 0.1550 0.3100  1 O 1.00
P: 0.6172 0.2947 0.5894  1 H 1.41, 3 O 1.54
O: 0.8542 0.7482 0.0640  2 H 1.00
H: 0.0008 0.4664 0.4161  1 O 1.00
O: 0.3464 0.0978 0.7424  2 H 1.01
H: 0.9494 0.8652 0.0868  1 O 1.00
P: 0.6622 0.9527 0.9055  1 H 1.41, 3 O 1.54
H: 0.6641 0.5693 0.9012  1 O 1.01
O: 0.7572 0.4557 0.9115  2 H 1.01
H: 0.7007 0.2924 0.0798  1 O 1.00
O: 0.1560 0.5808 0.5885  2 H 1.00-1.01
O: 0.2428 0.5443 0.0885  2 H 1.01
O: 0.7338 0.0963 0.5615  1 P 1.54, 3 H 1.62-1.69
H: 0.3725 0.3217 0.4056  1 O 1.02
H: 0.5584 0.8166 0.2843  1 O 1.01
Mg: 0.0000 0.5000 0.0000  6 O 2.07-2.08
O: 0.2662 0.5348 0.4385  1 P 1.54, 3 H 1.62-1.69
H: 0.0506 0.1348 0.9132  1 O 1.00
H: 0.4214 0.1003 0.7951  1 O 1.01
H: 0.5786 0.3052 0.2049  1 O 1.01
H: 0.5584 0.4677 0.2843  1 O 1.01
O: 0.1560 0.0077 0.5885  2 H 1.00-1.01
O: 0.1458 0.6842 0.9360  2 H 1.00
N: 0.0023 0.6157 0.2314  4 H 1.05
O: 0.7338 0.4652 0.5615  1 P 1.54, 3 H 1.62-1.69
O: 0.4660 0.2431 0.1181  1 P 1.54, 3 H 1.61-1.65
H: 0.5786 0.8997 0.2049  1 O 1.01
H: 0.9494 0.2216 0.0868  1 O 1.00
H: 0.3143 0.0060 0.0121  1 P 1.41
H: 0.8586 0.3652 0.7304  1 N 1.05
H: 0.4416 0.5323 0.7157  1 O 1.01
H: 0.4031 0.2776 0.5552  1 P 1.41
H: 0.3359 0.4307 0.0988  1 O 1.01
P: 0.3378 0.0473 0.0945  1 H 1.41, 3 O 1.54
H: 0.7945 0.0327 0.4669  1 O 1.01
H: 0.0814 0.1117 0.2235  1 O 1.00
O: 0.6536 0.9022 0.2576  2 H 1.01
H: 0.3725 0.0840 0.4056  1 O 1.02
Mg: 0.7528 0.1663 0.3327  6 O 2.07-2.14
H: 0.9186 0.8883 0.7765  1 O 1.00
O: 0.4073 0.6604 0.3207  1 P 1.54, 2 H 1.65
H: 0.6275 0.9160 0.5944  1 O 1.02
O: 0.9426 0.8593 0.7186  2 H 1.00
O: 0.4660 0.8750 0.1181  1 P 1.54, 3 H 1.61-1.65
H: 0.6275 0.6783 0.5944  1 O 1.02

---

No. 5
VASP calculation (meta-GGA SCAN) on MgH20S2N2O14 at its PBEsol-relaxed geometry.

Properties
VASP energy, eV/atom: -6.307
Space group: P2_1/c
DOS at the Fermi energy, states/eV/cell: 0.0

abc: 6.0874 9.3135 12.7598
angles: 90.00 90.00 107.96
Closest atoms and distances in Å follow each position.
Fractional positions:
H: 0.6582 0.2840 0.4071  1 O 0.99
H: 0.3418 0.7160 0.5929  1 O 0.99
H: 0.9753 0.1366 0.1855  1 O 0.99
H: 0.5687 0.2823 0.1902  1 N 1.04
H: 0.8939 0.2514 0.3727  1 O 0.99
O: 0.0366 0.8402 0.8899  2 H 0.99
H: 0.0247 0.3634 0.6855  1 O 0.99
H: 0.9504 0.2311 0.6025  1 O 0.99
O: 0.9634 0.6598 0.3899  2 H 0.99
O: 0.8274 0.3303 0.3971  2 H 0.99
O: 0.6395 0.7740 0.5725  1 S 1.50
O: 0.9845 0.8854 0.6789  1 S 1.49
H: 0.1061 0.7486 0.6273  1 O 0.99
H: 0.6572 0.5921 0.5646  1 O 0.99
H: 0.0247 0.8634 0.8145  1 O 0.99
O: 0.6026 0.3838 0.7599  1 S 1.48, 1 H 1.65
H: 0.6582 0.7840 0.0929  1 O 0.99
O: 0.0155 0.1146 0.3211  1 S 1.49
N: 0.6173 0.8674 0.3662  4 H 1.04-1.05
H: 0.4791 0.9106 0.3770  1 N 1.05
O: 0.2175 0.9554 0.4050  1 S 1.48
H: 0.3542 0.1779 0.5618  1 N 1.05
H: 0.4313 0.2177 0.6902  1 N 1.04
H: 0.3428 0.9079 0.0646  1 O 0.99
H: 0.5687 0.7823 0.3098  1 N 1.04
H: 0.0496 0.2689 0.1025  1 O 0.99
O: 0.2175 0.4554 0.0950  1 S 1.48
O: 0.6963 0.4964 0.5691  2 H 0.99-1.00
H: 0.1061 0.2486 0.8727  1 O 0.99
N: 0.6173 0.3674 0.1338  4 H 1.04-1.05
O: 0.1726 0.6697 0.6029  2 H 0.99
H: 0.7659 0.9536 0.3442  1 N 1.05
H: 0.6458 0.8221 0.4382  1 N 1.05
O: 0.9634 0.1598 0.1101  2 H 0.99
H: 0.6458 0.3221 0.0618  1 N 1.05
O: 0.6963 0.9964 0.9309  2 H 0.99-1.00
H: 0.2341 0.5464 0.8442  1 N 1.05
O: 0.3605 0.2260 0.4275  1 S 1.50
S: 0.2452 0.1020 0.3526  4 O 1.48-1.50
O: 0.0366 0.3402 0.6101  2 H 0.99
Mg: 0.0000 0.0000 0.0000  6 O 2.04-2.11
O: 0.8274 0.8303 0.1029  2 H 0.99
N: 0.3827 0.1326 0.6338  4 H 1.04-1.05
H: 0.4791 0.4106 0.1230  1 N 1.05
H: 0.5209 0.0894 0.6230  1 N 1.05
S: 0.7548 0.8980 0.6474  4 O 1.48-1.50
S: 0.2452 0.6020 0.1474  4 O 1.48-1.50
H: 0.2341 0.0464 0.6558  1 N 1.05
O: 0.9845 0.3854 0.8211  1 S 1.49
H: 0.3292 0.5380 0.3566  1 O 1.00
H: 0.9753 0.6366 0.3145  1 O 0.99
Mg: 0.0000 0.5000 0.5000  6 O 2.04-2.11
O: 0.3605 0.7260 0.0725  1 S 1.50
O: 0.3974 0.1162 0.2599  1 S 1.48, 1 H 1.65
H: 0.3418 0.2160 0.9071  1 O 0.99
H: 0.4313 0.7177 0.8098  1 N 1.04
N: 0.3827 0.6326 0.8662  4 H 1.04-1.05
O: 0.3974 0.6162 0.2401  1 S 1.48, 1 H 1.65
H: 0.3428 0.4079 0.4354  1 O 0.99
O: 0.6026 0.8838 0.7401  1 S 1.48, 1 H 1.65
H: 0.6708 0.9620 0.8566  1 O 1.00
H: 0.6708 0.4620 0.6434  1 O 1.00
H: 0.8939 0.7514 0.1273  1 O 0.99
H: 0.0496 0.7689 0.3975  1 O 0.99
H: 0.5209 0.5894 0.8770  1 N 1.05
O: 0.3037 0.0036 0.0691  2 H 0.99-1.00
O: 0.0155 0.6146 0.1789  1 S 1.49
H: 0.7659 0.4536 0.1558  1 N 1.05
O: 0.6395 0.2740 0.9275  1 S 1.50
O: 0.3037 0.5036 0.4309  2 H 0.99-1.00
O: 0.7825 0.0446 0.5950  1 S 1.48
H: 0.6572 0.0921 0.9354  1 O 0.99
H: 0.3292 0.0380 0.1434  1 O 1.00
O: 0.1726 0.1697 0.8971  2 H 0.99
H: 0.9504 0.7311 0.8975  1 O 0.99
S: 0.7548 0.3980 0.8526  4 O 1.48-1.50
O: 0.7825 0.5446 0.9050  1 S 1.48
H: 0.3542 0.6779 0.9382  1 N 1.05

---

Which of these has the highest DOS at the Fermi energy?
MgMoH3

---

Please write out number 2 again, unchanged.
VASP calculation (meta-GGA SCAN) on MgMoH3 at its PBEsol-relaxed geometry.

Properties
VASP energy, eV/atom: -9.325
Space group: Pm-3m
DOS at the Fermi energy, states/eV/cell: 2.4

abc: 3.4185 3.4185 3.4185
angles: 90.00 90.00 90.00
Closest atoms and distances in Å follow each position.
Fractional positions:
H: 0.0000 0.0000 0.5000  2 Mg 1.71
H: 0.5000 0.0000 0.0000  2 Mg 1.71
Mo: 0.5000 0.5000 0.5000  12 H 2.42
H: 0.0000 0.5000 0.0000  2 Mg 1.71
Mg: 0.0000 0.0000 0.0000  6 H 1.71

---

Look up the DOS at the Fermi energy of the fourth one.
0.0 states/eV/cell